1.
# La2TbPm5Y PBE-GGA optimized geometry
data_La2TbPm5Y
_chemical_formula_sum 'La4 Tb2 Pm10 Y2'
_space_group_name_H-M_alt 'P 1'
_space_group_IT_number 1
_cell_length_a 5.7392
_cell_length_b 10.5266
_cell_length_c 10.8810
_cell_angle_alpha 90.00
_cell_angle_beta 90.00
_cell_angle_gamma 105.82
loop_
_space_group_symop_operation_xyz
'x,y,z'
loop_
_atom_site_label
_atom_site_fract_x
_atom_site_fract_y
_atom_site_fract_z
La1 0.8820 0.7640 0.8186
La2 0.1138 0.2276 0.7330
La3 0.1180 0.2360 0.3186
La4 0.8862 0.7724 0.2330
Tb1 0.5903 0.1807 0.9624
Tb2 0.4097 0.8193 0.4624
Pm1 0.3879 0.7759 0.0218
Pm2 0.7199 0.4398 0.8101
Pm3 0.4811 0.9621 0.7424
Pm4 0.2970 0.5941 0.7047
Pm5 0.9839 0.9677 0.5214
Pm6 0.6121 0.2241 0.5218
Pm7 0.2801 0.5602 0.3101
Pm8 0.5189 0.0379 0.2424
Pm9 0.7030 0.4059 0.2047
Pm10 0.0161 0.0323 0.0214
Y1 0.7979 0.5957 0.5096
Y2 0.2021 0.4043 0.0096
# VASP energy, eV per atom: -4.84
# Size of the total moment, μB/cell: 0.00
# D(E_F), states/eV/f.u.: 12.71
# ΔE_f, eV/atom: 0.125



2.
# La3TbPm6Y2 PBE-GGA optimized geometry
data_La3TbPm6Y2
_chemical_formula_sum 'La3 Tb1 Pm6 Y2'
_space_group_name_H-M_alt 'P 1'
_space_group_IT_number 1
_cell_length_a 6.3372
_cell_length_b 6.3372
_cell_length_c 12.1153
_cell_angle_alpha 95.02
_cell_angle_beta 95.02
_cell_angle_gamma 120.05
loop_
_space_group_symop_operation_xyz
'x,y,z'
loop_
_atom_site_label
_atom_site_fract_x
_atom_site_fract_y
_atom_site_fract_z
La1 0.1669 0.8331 0.5000
La2 0.8331 0.1669 0.5000
La3 0.5000 0.5000 0.5000
Tb1 0.0000 0.0000 0.0000
Pm1 0.9185 0.5858 0.7553
Pm2 0.7488 0.7488 0.2449
Pm3 0.0815 0.4142 0.2447
Pm4 0.5858 0.9185 0.7553
Pm5 0.2512 0.2512 0.7551
Pm6 0.4142 0.0815 0.2447
Y1 0.3334 0.6666 0.0000
Y2 0.6666 0.3334 0.0000
# VASP energy, eV per atom: -5.05
# Size of the total moment, μB/cell: 0.00
# D(E_F), states/eV/f.u.: 19.80
# ΔE_f, eV/atom: 0.018



3.
# La3Tb6PmY2 PBE-GGA optimized geometry
data_La3Tb6PmY2
_chemical_formula_sum 'La3 Tb6 Pm1 Y2'
_space_group_name_H-M_alt 'P 1'
_space_group_IT_number 1
_cell_length_a 6.2699
_cell_length_b 6.2699
_cell_length_c 11.9644
_cell_angle_alpha 95.01
_cell_angle_beta 95.01
_cell_angle_gamma 120.02
loop_
_space_group_symop_operation_xyz
'x,y,z'
loop_
_atom_site_label
_atom_site_fract_x
_atom_site_fract_y
_atom_site_fract_z
La1 0.1669 0.8331 0.5000
La2 0.8331 0.1669 0.5000
La3 0.5000 0.5000 0.5000
Tb1 0.9184 0.5851 0.7540
Tb2 0.7484 0.7484 0.2462
Tb3 0.0816 0.4149 0.2460
Tb4 0.5851 0.9184 0.7540
Tb5 0.2516 0.2516 0.7538
Tb6 0.4149 0.0816 0.2460
Pm1 0.0000 0.0000 0.0000
Y1 0.3333 0.6667 0.0000
Y2 0.6667 0.3333 0.0000
# VASP energy, eV per atom: -5.00
# Size of the total moment, μB/cell: 0.00
# D(E_F), states/eV/f.u.: 17.24
# ΔE_f, eV/atom: 0.019



4.
# LaTb2Pm6Y3 PBE-GGA optimized geometry
data_LaTb2Pm6Y3
_chemical_formula_sum 'La1 Tb2 Pm6 Y3'
_space_group_name_H-M_alt 'P 1'
_space_group_IT_number 1
_cell_length_a 6.2869
_cell_length_b 6.2869
_cell_length_c 11.9844
_cell_angle_alpha 95.02
_cell_angle_beta 95.02
_cell_angle_gamma 120.01
loop_
_space_group_symop_operation_xyz
'x,y,z'
loop_
_atom_site_label
_atom_site_fract_x
_atom_site_fract_y
_atom_site_fract_z
La1 0.0000 0.0000 0.0000
Tb1 0.3335 0.6665 0.0000
Tb2 0.6665 0.3335 0.0000
Pm1 0.9156 0.5812 0.7483
Pm2 0.7502 0.7502 0.2520
Pm3 0.0844 0.4188 0.2517
Pm4 0.5812 0.9156 0.7483
Pm5 0.2498 0.2498 0.7480
Pm6 0.4188 0.0844 0.2517
Y1 0.1672 0.8328 0.5000
Y2 0.8328 0.1672 0.5000
Y3 0.5000 0.5000 0.5000
# VASP energy, eV per atom: -5.16
# Size of the total moment, μB/cell: 0.00
# D(E_F), states/eV/f.u.: 16.41
# ΔE_f, eV/atom: 0.016



5.
# LaTb2PmY PBE-GGA optimized geometry
data_LaTb2PmY
_chemical_formula_sum 'La2 Tb4 Pm2 Y2'
_space_group_name_H-M_alt 'P 1'
_space_group_IT_number 1
_cell_length_a 7.2464
_cell_length_b 8.4516
_cell_length_c 7.2024
_cell_angle_alpha 125.92
_cell_angle_beta 90.00
_cell_angle_gamma 90.00
loop_
_space_group_symop_operation_xyz
'x,y,z'
loop_
_atom_site_label
_atom_site_fract_x
_atom_site_fract_y
_atom_site_fract_z
La1 0.7500 0.7281 0.4562
La2 0.2500 0.2719 0.5438
Tb1 0.5000 0.3115 0.0000
Tb2 0.0000 0.6885 0.0000
Tb3 0.5000 0.6885 0.0000
Tb4 0.0000 0.3115 0.0000
Pm1 0.2500 0.0109 0.0218
Pm2 0.7500 0.9891 0.9782
Y1 0.2500 0.7264 0.4527
Y2 0.7500 0.2736 0.5473
# VASP energy, eV per atom: -4.73
# Size of the total moment, μB/cell: 0.00
# D(E_F), states/eV/f.u.: 8.59
# ΔE_f, eV/atom: 0.355



6.
# La2TbPm4Y2 PBE-GGA optimized geometry
data_La2TbPm4Y2
_chemical_formula_sum 'La2 Tb1 Pm4 Y2'
_space_group_name_H-M_alt 'P 1'
_space_group_IT_number 1
_cell_length_a 3.6818
_cell_length_b 9.7091
_cell_length_c 9.7622
_cell_angle_alpha 115.20
_cell_angle_beta 90.00
_cell_angle_gamma 100.93
loop_
_space_group_symop_operation_xyz
'x,y,z'
loop_
_atom_site_label
_atom_site_fract_x
_atom_site_fract_y
_atom_site_fract_z
La1 0.3345 0.6690 0.0003
La2 0.6655 0.3310 0.9997
Tb1 0.0000 0.0000 0.0000
Pm1 0.8143 0.6286 0.6652
Pm2 0.1857 0.3714 0.3348
Pm3 0.5187 0.0375 0.3346
Pm4 0.4813 0.9625 0.6654
Y1 0.8528 0.7057 0.3353
Y2 0.1472 0.2943 0.6647
# VASP energy, eV per atom: -5.15
# Size of the total moment, μB/cell: 0.00
# D(E_F), states/eV/f.u.: 12.83
# ΔE_f, eV/atom: 0.004



7.
# LaTb2Pm4Y2 PBE-GGA optimized geometry
data_LaTb2Pm4Y2
_chemical_formula_sum 'La1 Tb2 Pm4 Y2'
_space_group_name_H-M_alt 'P 1'
_space_group_IT_number 1
_cell_length_a 5.1241
_cell_length_b 8.1021
_cell_length_c 8.0974
_cell_angle_alpha 107.31
_cell_angle_beta 90.00
_cell_angle_gamma 108.43
loop_
_space_group_symop_operation_xyz
'x,y,z'
loop_
_atom_site_label
_atom_site_fract_x
_atom_site_fract_y
_atom_site_fract_z
La1 0.0000 0.0000 0.0000
Tb1 0.3315 0.6630 0.0008
Tb2 0.6685 0.3370 0.9992
Pm1 0.7774 0.5549 0.6677
Pm2 0.2226 0.4451 0.3323
Pm3 0.5556 0.1113 0.3333
Pm4 0.4444 0.8887 0.6667
Y1 0.8885 0.7771 0.3345
Y2 0.1115 0.2229 0.6655
# VASP energy, eV per atom: -5.11
# Size of the total moment, μB/cell: 0.00
# D(E_F), states/eV/f.u.: 13.54
# ΔE_f, eV/atom: 0.018



8.
# LaTb3PmY PBE-GGA optimized geometry
data_LaTb3PmY
_chemical_formula_sum 'La2 Tb6 Pm2 Y2'
_space_group_name_H-M_alt 'P 1'
_space_group_IT_number 1
_cell_length_a 3.6419
_cell_length_b 9.6915
_cell_length_c 12.1161
_cell_angle_alpha 110.34
_cell_angle_beta 90.00
_cell_angle_gamma 90.00
loop_
_space_group_symop_operation_xyz
'x,y,z'
loop_
_atom_site_label
_atom_site_fract_x
_atom_site_fract_y
_atom_site_fract_z
La1 0.7500 0.8189 0.6555
La2 0.2500 0.1811 0.3445
Tb1 0.2500 0.5662 0.3995
Tb2 0.7500 0.9298 0.0945
Tb3 0.7500 0.3226 0.1501
Tb4 0.7500 0.4338 0.6005
Tb5 0.2500 0.6774 0.8499
Tb6 0.2500 0.0702 0.9055
Pm1 0.2500 0.1300 0.6268
Pm2 0.7500 0.8700 0.3732
Y1 0.2500 0.6249 0.1230
Y2 0.7500 0.3751 0.8770
# VASP energy, eV per atom: -4.99
# Size of the total moment, μB/cell: 0.00
# D(E_F), states/eV/f.u.: 8.34
# ΔE_f, eV/atom: 0.013



9.
# LaTbPmY PBE-GGA optimized geometry
data_LaTbPmY
_chemical_formula_sum 'La1 Tb1 Pm1 Y1'
_space_group_name_H-M_alt 'P 1'
_space_group_IT_number 1
_cell_length_a 5.7856
_cell_length_b 5.7856
_cell_length_c 5.7856
_cell_angle_alpha 60.00
_cell_angle_beta 60.00
_cell_angle_gamma 60.00
loop_
_space_group_symop_operation_xyz
'x,y,z'
loop_
_atom_site_label
_atom_site_fract_x
_atom_site_fract_y
_atom_site_fract_z
Y1 0.7500 0.7500 0.7500
La1 0.0000 0.0000 0.0000
Tb1 0.2500 0.2500 0.2500
Pm1 0.5000 0.5000 0.5000
# E above lowest polymorph, eV/f.u.: 0.30
# VASP energy, eV per atom: -5.09
# Size of the total moment, μB/cell: 0.00
# D(E_F), states/eV/f.u.: 7.64
# ΔE_f, eV/atom: 0.104



10.
# LaTbPm6Y2 PBE-GGA optimized geometry
data_LaTbPm6Y2
_chemical_formula_sum 'La2 Tb2 Pm12 Y4'
_space_group_name_H-M_alt 'P 1'
_space_group_IT_number 1
_cell_length_a 9.6755
_cell_length_b 8.9724
_cell_length_c 8.9724
_cell_angle_alpha 116.98
_cell_angle_beta 93.63
_cell_angle_gamma 93.63
loop_
_space_group_symop_operation_xyz
'x,y,z'
loop_
_atom_site_label
_atom_site_fract_x
_atom_site_fract_y
_atom_site_fract_z
La1 0.2500 0.4060 0.5940
La2 0.7500 0.5940 0.4060
Tb1 0.2500 0.9652 0.0348
Tb2 0.7500 0.0348 0.9652
Pm1 0.0574 0.1090 0.7612
Pm2 0.4426 0.2388 0.8910
Pm3 0.9426 0.8910 0.2388
Pm4 0.5574 0.7612 0.1090
Pm5 0.3182 0.9824 0.4359
Pm6 0.1818 0.5641 0.0176
Pm7 0.6818 0.0176 0.5641
Pm8 0.8182 0.4359 0.9824
Pm9 0.1183 0.7053 0.4832
Pm10 0.3817 0.5168 0.2947
Pm11 0.8817 0.2947 0.5168
Pm12 0.6183 0.4832 0.7053
Y1 0.4512 0.8032 0.7079
Y2 0.0488 0.2921 0.1968
Y3 0.5488 0.1968 0.2921
Y4 0.9512 0.7079 0.8032
# VASP energy, eV per atom: -4.98
# Size of the total moment, μB/cell: 0.00
# D(E_F), states/eV/f.u.: 14.96
# ΔE_f, eV/atom: 0.118



What did the first record say?
# La2TbPm5Y PBE-GGA optimized geometry
data_La2TbPm5Y
_chemical_formula_sum 'La4 Tb2 Pm10 Y2'
_space_group_name_H-M_alt 'P 1'
_space_group_IT_number 1
_cell_length_a 5.7392
_cell_length_b 10.5266
_cell_length_c 10.8810
_cell_angle_alpha 90.00
_cell_angle_beta 90.00
_cell_angle_gamma 105.82
loop_
_space_group_symop_operation_xyz
'x,y,z'
loop_
_atom_site_label
_atom_site_fract_x
_atom_site_fract_y
_atom_site_fract_z
La1 0.8820 0.7640 0.8186
La2 0.1138 0.2276 0.7330
La3 0.1180 0.2360 0.3186
La4 0.8862 0.7724 0.2330
Tb1 0.5903 0.1807 0.9624
Tb2 0.4097 0.8193 0.4624
Pm1 0.3879 0.7759 0.0218
Pm2 0.7199 0.4398 0.8101
Pm3 0.4811 0.9621 0.7424
Pm4 0.2970 0.5941 0.7047
Pm5 0.9839 0.9677 0.5214
Pm6 0.6121 0.2241 0.5218
Pm7 0.2801 0.5602 0.3101
Pm8 0.5189 0.0379 0.2424
Pm9 0.7030 0.4059 0.2047
Pm10 0.0161 0.0323 0.0214
Y1 0.7979 0.5957 0.5096
Y2 0.2021 0.4043 0.0096
# VASP energy, eV per atom: -4.84
# Size of the total moment, μB/cell: 0.00
# D(E_F), states/eV/f.u.: 12.71
# ΔE_f, eV/atom: 0.125